Entry 1:
A relaxed structure of Cs2Rb4Cd, computed with PBE.

a = 7.294 Å, b = 7.294 Å, c = 24.537 Å
α = 90.00°, β = 90.00°, γ = 90.00°
Sites, in units of the cell vectors:
Cs  0.000  0.000  0.149
Cs  0.000  0.000  0.851
Cs  0.500  0.500  0.351
Cs  0.500  0.500  0.649
Rb  0.000  0.000  0.347
Rb  0.000  0.000  0.653
Rb  0.000  0.500  0.000
Rb  0.000  0.500  0.500
Rb  0.500  0.000  0.000
Rb  0.500  0.000  0.500
Rb  0.500  0.500  0.153
Rb  0.500  0.500  0.847
Cd  0.000  0.000  0.500
Cd  0.500  0.500  0.000

Distance to the lowest polymorph of the same formula = 4.3 kJ per mole of atoms
Magnetization = 0.00 μB per formula unit
SG = I4/mmm (139)
E_form = 0.045 eV per atom
DFT total energy = -0.882 eV per atom

---

Entry 2:
A relaxed structure of AlRh2Br, computed with PBE.

a = 3.072 Å, b = 3.865 Å, c = 5.547 Å
α = 90.00°, β = 90.00°, γ = 90.00°
Sites, in units of the cell vectors:
Al  0.000  0.000  0.000
Rh  0.000  0.000  0.546
Rh  0.500  0.500  0.859
Br  0.500  0.500  0.394

Distance to the lowest polymorph of the same formula = 29.7 kJ per mole of atoms
Magnetization = 0.00 μB per formula unit
SG = Pmm2 (25)
DFT total energy = -5.038 eV per atom

---

Entry 3:
A relaxed structure of Nd2FeAg, computed with PBE.

a = 3.552 Å, b = 3.552 Å, c = 7.608 Å
α = 90.00°, β = 90.00°, γ = 90.00°
Sites, in units of the cell vectors:
Nd  0.000  0.000  0.224
Nd  0.000  0.000  0.776
Fe  0.500  0.500  0.000
Ag  0.500  0.500  0.500

Magnetization = 1.23 μB per formula unit
SG = P4/mmm (123)
E_form = 0.002 eV per atom
DFT total energy = -5.210 eV per atom

---

Entry 4:
A relaxed structure of Be2PRh, computed with PBE.

a = 4.700 Å, b = 6.605 Å, c = 2.816 Å
α = 90.00°, β = 90.00°, γ = 90.00°
Sites, in units of the cell vectors:
Be  0.250  0.250  0.000
Be  0.250  0.750  0.000
Be  0.750  0.250  0.000
Be  0.750  0.750  0.000
P  0.000  0.000  0.500
P  0.500  0.500  0.500
Rh  0.000  0.500  0.500
Rh  0.500  0.000  0.500

Magnetization = 0.00 μB per formula unit
SG = Cmmm (65)
E_form = -0.241 eV per atom
DFT total energy = -5.294 eV per atom

---

- DFT total energy of number 1 (Cs2Rb4Cd)?
  -0.882 eV per atom

---

- Which of these has the lowest DFT total energy?
  Be2PRh